(1)
# NaMn3Al

NaMn3Al after structural relaxation (PBE, Alexandria).

Structure (CIF):
```
data_NaMn3Al
_symmetry_space_group_name_H-M 'P m -3 m'
_symmetry_Int_Tables_number 221
_symmetry_space_group_name_Hall '-P 4 2 3'
_cell_length_a 4.620
_cell_length_b 4.620
_cell_length_c 4.620
_cell_angle_alpha 90.00
_cell_angle_beta 90.00
_cell_angle_gamma 90.00
loop_
_atom_site_label
_atom_site_type_symbol
_atom_site_fract_x
_atom_site_fract_y
_atom_site_fract_z
Na1 Na 0.000 0.000 0.000
Mn1 Mn 0.000 0.000 0.500
Al1 Al 0.500 0.500 0.500
```

(2)
# Na3MnAl

Na3MnAl after structural relaxation (PBE, Alexandria).

Structure (CIF):
```
data_Na3MnAl
_symmetry_space_group_name_H-M 'P m -3 m'
_symmetry_Int_Tables_number 221
_symmetry_space_group_name_Hall '-P 4 2 3'
_cell_length_a 5.693
_cell_length_b 5.693
_cell_length_c 5.693
_cell_angle_alpha 90.00
_cell_angle_beta 90.00
_cell_angle_gamma 90.00
loop_
_atom_site_label
_atom_site_type_symbol
_atom_site_fract_x
_atom_site_fract_y
_atom_site_fract_z
Na1 Na 0.000 0.000 0.500
Mn1 Mn 0.500 0.500 0.500
Al1 Al 0.000 0.000 0.000
```

Results for total energy: -24.53, -12.43 (in eV for the cell shown, following the order of the records).
Results for energy of formation: 1.61, 0.89 (in eV/atom, following the order of the records).
Results for energy above the most stable polymorph in this dataset: 675, 0 (in meV per atom, following the order of the records).